[1]
Here is crystalline Ho3Co2P3 at its relaxed geometry from Alexandria. Energies are from PBE-GGA.

Cell: 3.946 10.230 13.482 Å, 90.00 90.00 90.00°
Space group Cmcm (No. 63)
Inequivalent atoms, fractional coordinates:
1 Ho 0.000 0.078 0.107 [8 per cell]
2 Ho 0.000 0.362 0.250 [4 per cell]
3 Co 0.000 0.220 0.598 [8 per cell]
4 P 0.000 0.339 0.750 [4 per cell]
5 P 0.000 0.361 0.045 [8 per cell]

Values from the calculation:
E_tot   -6.610 eV per atom
Crystal system   orthorhombic
E_form   -1.089 eV per atom

=====

[2]
Here is crystalline HoCo4P2 at its relaxed geometry from Alexandria. Energies are from PBE-GGA.

Cell: 7.049 7.049 3.532 Å, 90.00 90.00 90.00°
Space group P4_2/mnm (No. 136)
Inequivalent atoms, fractional coordinates:
1 Ho 0.000 0.000 0.000 [2 per cell]
2 Co 0.080 0.338 0.500 [8 per cell]
3 P 0.224 0.776 0.500 [4 per cell]

Values from the calculation:
E_tot   -7.018 eV per atom
Crystal system   tetragonal
E_form   -0.758 eV per atom

=====

[3]
Here is crystalline HoCo5P3 at its relaxed geometry from Alexandria. Energies are from PBE-GGA.

Cell: 3.577 11.332 11.290 Å, 90.00 90.00 90.00°
Space group Cmcm (No. 63)
Inequivalent atoms, fractional coordinates:
1 Ho 0.000 0.157 0.250 [4 per cell]
2 Co 0.000 0.000 0.000 [4 per cell]
3 Co 0.000 0.200 0.571 [8 per cell]
4 Co 0.000 0.446 0.143 [8 per cell]
5 P 0.000 0.111 0.750 [4 per cell]
6 P 0.000 0.383 0.541 [8 per cell]

Values from the calculation:
E_tot   -7.030 eV per atom
Crystal system   orthorhombic
E_form   -0.770 eV per atom
E above lowest polymorph   0.0769 eV per atom

=====

Number 1: V 544.3 Å³ per cell. Number 2: V 175.5 Å³ per cell. Number 3: V 457.7 Å³ per cell.